Density functional theory data (PBE with a Hubbard U) for a relaxed Li3Cr5O10 crystal.

## Properties
Total energy, eV/atom: -7.03

```
Li3Cr5O10
1.0
5.131 0.000 0.000
-1.705 5.717 0.000
-0.888 -1.867 6.303
Li Cr O
3 5 10
Cartesian
0.000 0.000 0.000
-0.001 1.546 2.535
2.539 2.304 3.768
-0.852 2.858 0.000
-0.856 4.395 2.543
0.829 0.188 5.080
1.710 3.662 1.222
3.394 -0.546 3.760
-0.896 1.098 4.478
-1.774 4.271 4.323
-0.073 4.460 0.728
0.777 1.967 0.555
1.668 0.338 3.282
0.870 3.512 3.020
1.761 1.883 5.747
2.611 -0.610 5.575
4.312 -0.421 1.980
3.434 2.752 1.825
```